A plane-wave DFT calculation with PBE was carried out for crystalline PmZrHg at its relaxed geometry.

Computed properties:
Space group: No. 107
Excess energy over the best structure of this formula in the dataset: 0.035 eV/atom
Total energy: -14.080 eV per cell
Formation energy from the elements: -0.48 eV per formula unit

```
3
Lattice="-1.7481 1.7481 6.3830 1.7481 -1.7481 6.3830 1.7481 1.7481 -6.3830" Properties=species:S:1:pos:R:3 pbc="T T T"
Pm 0.0000 0.0000 0.0000
Zr 0.0000 0.0000 4.0761
Hg 0.0000 0.0000 8.6763
```

***

A plane-wave DFT calculation with PBE was carried out for crystalline AcHo3Mg2 at its relaxed geometry.

Computed properties:
Space group: No. 123
Total energy: -21.168 eV per cell
Formation energy from the elements: -0.14 eV per formula unit

```
6
Lattice="3.7866 0.0000 0.0000 0.0000 3.7866 0.0000 0.0000 0.0000 12.7594" Properties=species:S:1:pos:R:3 pbc="T T T"
Ac 0.0000 0.0000 0.0000
Ho 1.8933 1.8933 2.6306
Ho 1.8933 1.8933 6.3797
Ho 1.8933 1.8933 10.1289
Mg 0.0000 0.0000 4.5177
Mg 0.0000 0.0000 8.2418
```

***

A plane-wave DFT calculation with PBE was carried out for crystalline ZnRe2W at its relaxed geometry.

Computed properties:
Space group: No. 12
Total energy: -38.106 eV per cell
Formation energy from the elements: 1.02 eV per formula unit

```
4
Lattice="4.5689 -1.4162 0.0000 4.5689 1.4162 0.0000 -0.9455 0.0000 4.6706" Properties=species:S:1:pos:R:3 pbc="T T T"
Zn 0.0000 0.0000 0.0000
Re 1.5602 0.0000 3.4985
Re 6.6322 0.0000 1.1721
W 4.0962 0.0000 2.3353
```

***

A plane-wave DFT calculation with PBE was carried out for crystalline Ca5AcIn6 at its relaxed geometry.

Computed properties:
Space group: No. 10
Total energy: -36.132 eV per cell
Formation energy from the elements: -5.58 eV per formula unit

```
12
Lattice="5.5091 0.0000 0.0000 0.0000 7.8560 0.0000 -2.7420 0.0000 8.2788" Properties=species:S:1:pos:R:3 pbc="T T T"
Ca 0.0000 0.0000 0.0000
Ca 0.0164 3.9280 5.4638
Ca 0.0185 0.0000 5.5526
Ca 2.7486 0.0000 2.7262
Ca 2.7507 3.9280 2.8149
Ac 0.0000 3.9280 0.0000
In -0.0088 1.8611 2.8153
In -0.0088 5.9949 2.8153
In 2.7546 1.8557 0.0000
In 2.7546 6.0002 0.0000
In 2.7759 1.8611 5.4634
In 2.7759 5.9949 5.4634
```

***

A plane-wave DFT calculation with PBE was carried out for crystalline Ca3Ac3MgTe8 at its relaxed geometry.

Computed properties:
Space group: No. 166
Total energy: -66.831 eV per cell
Uncorrected formation energy: -1.452 eV per atom

```
15
Lattice="4.6214 2.6682 7.4725 -4.6214 2.6682 7.4725 0.0000 -5.3364 7.4725" Properties=species:S:1:pos:R:3 pbc="T T T"
Ca -2.3107 -1.3341 7.4725
Ca -2.3107 1.3341 14.9451
Ca 0.0000 2.6682 7.4725
Ac -4.6214 0.0000 11.2088
Ac -2.3107 1.3341 3.7363
Ac 2.3107 1.3341 3.7363
Mg 0.0000 0.0000 11.2088
Te 0.0000 0.0000 5.7325
Te 0.0000 -2.4821 9.3730
Te -2.1495 1.2410 9.3730
Te -2.1495 -1.2410 13.0446
Te 2.1495 1.2410 9.3730
Te 2.1495 -1.2410 13.0447
Te 0.0000 2.4821 13.0447
Te 0.0000 0.0000 16.6851
```

***

A plane-wave DFT calculation with PBE was carried out for crystalline Li2YHgS at its relaxed geometry.

Computed properties:
Space group: No. 123
Total energy: -18.698 eV per cell
Uncorrected formation energy: -0.795 eV per atom

```
5
Lattice="4.5772 0.0000 0.0000 0.0000 4.5772 0.0000 0.0000 0.0000 5.3455" Properties=species:S:1:pos:R:3 pbc="T T T"
Li 0.0000 2.2886 0.0000
Li 2.2886 0.0000 0.0000
Y 0.0000 0.0000 2.6727
Hg 2.2886 2.2886 2.6727
S 0.0000 0.0000 0.0000
```

***

A plane-wave DFT calculation with PBE was carried out for crystalline BeAlCo2 at its relaxed geometry.

Computed properties:
Space group: No. 71
Total energy: -20.347 eV per cell
Formation energy from the elements: 1.33 eV per formula unit

```
4
Lattice="-1.2518 1.9800 4.7964 1.2518 -1.9800 4.7964 1.2518 1.9800 -4.7964" Properties=species:S:1:pos:R:3 pbc="T T T"
Be 0.0000 0.0000 0.0000
Al 0.0000 0.0000 4.7964
Co 0.0000 0.0000 2.0315
Co 0.0000 0.0000 7.5613
```

***

A plane-wave DFT calculation with PBE was carried out for crystalline SrCuSiPd2 at its relaxed geometry.

Computed properties:
Space group: No. 123
Total energy: -23.651 eV per cell
Uncorrected formation energy: -0.413 eV per atom

```
5
Lattice="4.7332 0.0000 0.0000 0.0000 4.7332 0.0000 0.0000 0.0000 4.5436" Properties=species:S:1:pos:R:3 pbc="T T T"
Sr 0.0000 0.0000 0.0000
Cu 2.3666 2.3666 0.0000
Si 2.3666 2.3666 2.2718
Pd 0.0000 2.3666 2.2718
Pd 2.3666 0.0000 2.2718
```

***

A plane-wave DFT calculation with PBE was carried out for crystalline NaDy2CuS4 at its relaxed geometry.

Computed properties:
Space group: No. 63
Total energy: -88.167 eV per cell
Uncorrected formation energy: -1.619 eV per atom

```
16
Lattice="1.9521 -6.5295 0.0000 1.9521 6.5295 0.0000 0.0000 0.0000 13.6714" Properties=species:S:1:pos:R:3 pbc="T T T"
Na 1.9521 5.0581 10.2536
Na 1.9521 -5.0581 3.4179
Dy 1.9521 1.7556 7.7334
Dy 1.9521 1.7556 12.7738
Dy 1.9521 -1.7556 0.8977
Dy 1.9521 -1.7556 5.9380
Cu 1.9521 4.4670 3.4179
Cu 1.9521 -4.4670 10.2536
S 0.0000 0.0000 0.0000
S 0.0000 0.0000 6.8357
S 1.9521 3.0189 1.5804
S 1.9521 3.0189 5.2553
S 1.9521 0.7376 10.2536
S 1.9521 -0.7376 3.4179
S 1.9521 -3.0189 8.4161
S 1.9521 -3.0189 12.0910
```

***

A plane-wave DFT calculation with PBE was carried out for crystalline KRb2BrF6 at its relaxed geometry.

Computed properties:
Space group: No. 139
Total energy: -34.930 eV per cell
Uncorrected formation energy: -1.900 eV per atom

```
10
Lattice="-3.4603 3.4603 4.4298 3.4603 -3.4603 4.4298 3.4603 3.4603 -4.4298" Properties=species:S:1:pos:R:3 pbc="T T T"
K 0.0000 0.0000 0.0000
Rb 3.4603 0.0000 2.2149
Rb 0.0000 3.4603 2.2149
Br 0.0000 0.0000 4.4298
F 1.7748 1.7748 0.0000
F 1.6855 -1.6855 4.4298
F 0.0000 0.0000 2.5197
F 0.0000 0.0000 6.3398
F -1.6855 1.6855 4.4298
F 1.6855 1.6855 4.4298
```

***

A plane-wave DFT calculation with PBE was carried out for crystalline U2SnOs at its relaxed geometry.

Computed properties:
Space group: No. 123
Excess energy over the best structure of this formula in the dataset: 0.000 eV/atom
Total energy: -37.710 eV per cell
Formation energy from the elements: 0.10 eV per formula unit

```
4
Lattice="3.7850 0.0000 0.0000 0.0000 3.7850 0.0000 0.0000 0.0000 6.0025" Properties=species:S:1:pos:R:3 pbc="T T T"
U 0.0000 0.0000 1.2518
U 0.0000 0.0000 4.7507
Sn 1.8925 1.8925 3.0012
Os 1.8925 1.8925 0.0000
```

***

A plane-wave DFT calculation with PBE was carried out for crystalline Pm2Dy5Ho at its relaxed geometry.

Computed properties:
Space group: No. 55
Total energy: -73.908 eV per cell
Formation energy from the elements: 0.14 eV per formula unit

```
16
Lattice="7.1353 0.0000 0.0000 0.0000 14.2707 0.0000 0.0000 0.0000 5.0371" Properties=species:S:1:pos:R:3 pbc="T T T"
Pm 1.7796 1.7819 0.0000
Pm 1.7880 8.9173 0.0000
Pm 5.3473 5.3535 0.0000
Pm 5.3557 12.4888 0.0000
Dy 0.0000 7.1354 2.5185
Dy 0.0058 10.7049 2.5185
Dy 1.7794 5.3507 0.0000
Dy 1.7882 12.4860 0.0000
Dy 3.5619 3.5696 2.5185
Dy 3.5677 0.0000 2.5185
Dy 3.5735 10.7012 2.5185
Dy 5.3471 1.7847 0.0000
Dy 5.3559 8.9200 0.0000
Dy 7.1295 3.5658 2.5185
Ho 0.0000 0.0000 2.5185
Ho 3.5677 7.1354 2.5185
```